NdIn12Rh4 after structural relaxation. Source: Alexandria via LeMat-Bulk, functional GGA-PBE.

abc: 8.2866 8.2866 8.2866
angles: 109.47 109.47 109.47
Closest atoms and distances in Å follow each position.
Positions (direct):
In 0.4973 0.1673 0.3300  2 Rh 2.63
In 0.8327 0.6700 0.5027  2 Rh 2.63
In 0.8372 0.1673 0.6700  2 Rh 2.63
In 0.1673 0.3300 0.4973  2 Rh 2.63
In 0.3300 0.1628 0.8327  2 Rh 2.63
In 0.8327 0.3300 0.1628  2 Rh 2.63
Rh 0.0000 0.0000 0.5000  6 In 2.63
In 0.6700 0.8372 0.1673  2 Rh 2.63
In 0.3300 0.4973 0.1673  2 Rh 2.63
In 0.1673 0.6700 0.8372  2 Rh 2.63
Rh 0.0000 0.5000 0.0000  6 In 2.63
In 0.6700 0.5027 0.8327  2 Rh 2.63
In 0.1628 0.8327 0.3300  2 Rh 2.63
In 0.5027 0.8327 0.6700  2 Rh 2.63
Rh 0.5000 0.0000 0.0000  6 In 2.63
Nd 0.0000 0.0000 0.0000  12 In 3.54
Rh 0.5000 0.5000 0.5000  6 In 2.63

The value obtained for the density of states at the Fermi level is 8.7 states/eV per cell. The value obtained for the magnetic moment is 0.0 μB/f.u. Its total DFT energy (no corrections) is -4.064 eV per atom. The energy of formation from the pure elements is -0.121 eV per atom.